1.
First-principles (GGA-PBEsol) data for a relaxed Ca2TcAg crystal, as listed in Alexandria via LeMat-Bulk.

The calculation puts the density of states at the Fermi level at 0.9659 states/eV/atom. For the formation energy, the calculation gives 0.428 eV per atom.

It has space group Imm2 (No. 44), with a = 3.092 Å, b = 5.141 Å, c = 11.044 Å, α = 90.00°, β = 90.00° and γ = 90.00°. The distinct sites, in fractional coordinates, are Ca at (0.000, 0.000, 0.000), Ca at (0.000, 0.500, 0.201), Tc at (0.000, 0.500, 0.743) and Ag at (0.000, 0.000, 0.443).


2.
First-principles (GGA-PBEsol) data for a relaxed CaTcAg crystal, as listed in Alexandria via LeMat-Bulk.

The calculation puts the density of states at the Fermi level at 0.7253 states/eV/atom. For the formation energy, the calculation gives 0.698 eV per atom.

It has space group P3m1 (No. 156), with a = 2.8947 Å, b = 2.8947 Å, c = 7.4290 Å, α = 90.00°, β = 90.00° and γ = 120.00°. The distinct sites, in fractional coordinates, are Ca at (0.0000, 0.0000, 0.0000), Tc at (0.3333, 0.6667, 0.6679) and Ag at (0.6667, 0.3333, 0.3555).


3.
First-principles (GGA-PBEsol) data for a relaxed CaTcAg2 crystal, as listed in Alexandria via LeMat-Bulk.

The calculation puts the density of states at the Fermi level at 0.8345 states/eV/atom. For the formation energy, the calculation gives 0.407 eV per atom.

It has space group P4mm (No. 99), with a = 2.795 Å, b = 2.795 Å, c = 9.010 Å, α = 90.00°, β = 90.00° and γ = 90.00°. The distinct sites, in fractional coordinates, are Ca at (0.000, 0.000, 0.000), Tc at (0.500, 0.500, 0.261), Ag at (0.000, 0.000, 0.488) and Ag at (0.500, 0.500, 0.724).


4.
First-principles (GGA-PBEsol) data for a relaxed CaTcAg2 crystal, as listed in Alexandria via LeMat-Bulk.

The calculation puts the density of states at the Fermi level at 0.9990 states/eV/atom. For the formation energy, the calculation gives 0.419 eV per atom.

It has space group Pmmm (No. 47), with a = 2.754 Å, b = 4.281 Å, c = 6.091 Å, α = 90.00°, β = 90.00° and γ = 90.00°. The distinct sites, in fractional coordinates, are Ca at (0.000, 0.000, 0.000), Tc at (0.000, 0.000, 0.500) and Ag at (0.500, 0.500, 0.281).


5.
First-principles (GGA-PBEsol) data for a relaxed CaTc2Ag crystal, as listed in Alexandria via LeMat-Bulk.

The calculation puts the density of states at the Fermi level at 1.0417 states/eV/atom. For the formation energy, the calculation gives 0.680 eV per atom.

It has space group I4/mmm (No. 139), with a = 3.779 Å, b = 3.779 Å, c = 9.616 Å, α = 90.00°, β = 90.00° and γ = 90.00°. The distinct sites, in fractional coordinates, are Ca at (0.000, 0.000, 0.000), Tc at (0.000, 0.500, 0.250) and Ag at (0.000, 0.000, 0.500).


6.
First-principles (GGA-PBEsol) data for a relaxed CaTc2Ag crystal, as listed in Alexandria via LeMat-Bulk.

The calculation puts the density of states at the Fermi level at 0.6593 states/eV/atom. For the formation energy, the calculation gives 0.487 eV per atom.

It has space group Cm (No. 8), with a = 8.465 Å, b = 3.027 Å, c = 5.907 Å, α = 90.00°, β = 99.05° and γ = 90.00°. The distinct sites, in fractional coordinates, are Ca at (0.000, 0.000, 0.000), Tc at (0.007, 0.500, 0.546), Tc at (0.227, 0.000, 0.664) and Ag at (0.262, 0.500, 0.279).


7.
First-principles (GGA-PBEsol) data for a relaxed CaTcAg2 crystal, as listed in Alexandria via LeMat-Bulk.

The calculation puts the density of states at the Fermi level at 0.6427 states/eV/atom. For the formation energy, the calculation gives 0.503 eV per atom.

It has space group P4mm (No. 99), with a = 3.386 Å, b = 3.386 Å, c = 6.575 Å, α = 90.00°, β = 90.00° and γ = 90.00°. The distinct sites, in fractional coordinates, are Ca at (0.000, 0.000, 0.000), Tc at (0.500, 0.500, 0.279), Ag at (0.000, 0.000, 0.492) and Ag at (0.500, 0.500, 0.711).


8.
First-principles (GGA-PBEsol) data for a relaxed CaTc2Ag crystal, as listed in Alexandria via LeMat-Bulk.

The calculation puts the density of states at the Fermi level at 1.3824 states/eV/atom. For the formation energy, the calculation gives 1.116 eV per atom.

It has space group Fm-3m (No. 225), with a = 6.471 Å, b = 6.471 Å, c = 6.471 Å, α = 90.00°, β = 90.00° and γ = 90.00°. The distinct sites, in fractional coordinates, are Ca at (0.000, 0.000, 0.000), Tc at (0.250, 0.250, 0.250) and Ag at (0.000, 0.000, 0.500).


9.
First-principles (GGA-PBEsol) data for a relaxed CaTc2Ag crystal, as listed in Alexandria via LeMat-Bulk.

The calculation puts the density of states at the Fermi level at 0.6488 states/eV/atom. For the formation energy, the calculation gives 0.656 eV per atom.

It has space group P4/mmm (No. 123), with a = 2.641 Å, b = 2.641 Å, c = 9.446 Å, α = 90.00°, β = 90.00° and γ = 90.00°. The distinct sites, in fractional coordinates, are Ca at (0.000, 0.000, 0.000), Tc at (0.500, 0.500, 0.266) and Ag at (0.000, 0.000, 0.500).


10.
First-principles (GGA-PBEsol) data for a relaxed Ca2TcAg crystal, as listed in Alexandria via LeMat-Bulk.

The calculation puts the density of states at the Fermi level at 1.1030 states/eV/atom. For the formation energy, the calculation gives 0.588 eV per atom.

It has space group F-43m (No. 216), with a = 6.965 Å, b = 6.965 Å, c = 6.965 Å, α = 90.00°, β = 90.00° and γ = 90.00°. The distinct sites, in fractional coordinates, are Ca at (0.000, 0.000, 0.000), Ca at (0.250, 0.250, 0.250), Tc at (0.000, 0.000, 0.500) and Ag at (0.250, 0.250, 0.750).


11.
First-principles (GGA-PBEsol) data for a relaxed CaTc2Ag crystal, as listed in Alexandria via LeMat-Bulk.

The calculation puts the density of states at the Fermi level at 0.9708 states/eV/atom. For the formation energy, the calculation gives 0.619 eV per atom.

It has space group P4/mmm (No. 123), with a = 3.783 Å, b = 3.783 Å, c = 4.730 Å, α = 90.00°, β = 90.00° and γ = 90.00°. The distinct sites, in fractional coordinates, are Ca at (0.000, 0.000, 0.000), Tc at (0.000, 0.500, 0.500) and Ag at (0.500, 0.500, 0.000).


12.
First-principles (GGA-PBEsol) data for a relaxed CaAgTe crystal, as listed in Alexandria via LeMat-Bulk.

The calculation puts the density of states at the Fermi level at 0.6079 states/eV/atom. The calculation puts the raw formation energy at -1.71 eV/f.u.

It has space group I4mm (No. 107), with a = 4.034 Å, b = 4.034 Å, c = 9.299 Å, α = 90.00°, β = 90.00° and γ = 90.00°. The distinct sites, in fractional coordinates, are Ca at (0.000, 0.000, 0.000), Ag at (0.000, 0.000, 0.330) and Te at (0.000, 0.000, 0.650).